Entry from Alexandria: a relaxed structure of Sr2AlHg4Pb2 (GGA-PBE).

Values from the calculation:
N(E_F) = 5.76 states/eV/cell
energy relative to the elements = -253 kJ/mol of formula units

Lattice parameters (Å, degrees): 7.151 7.151 10.104 90.00 90.00 90.00
Space group I4/mmm (No. 139)
One atom of each set of equivalent atoms:
Sr1 0.000 0.500 0.250
Al1 0.000 0.000 0.000
Hg1 0.233 0.233 0.500
Pb1 0.000 0.000 0.294

---

Entry from Alexandria: a relaxed structure of PmEuZnPb (GGA-PBE).

Values from the calculation:
N(E_F) = 9.74 states/eV/cell
energy relative to the elements = -153 kJ/mol of formula units

Lattice parameters (Å, degrees): 7.686 7.686 7.686 90.00 90.00 90.00
Space group F-43m (No. 216)
One atom of each set of equivalent atoms:
Pm1 0.000 0.000 0.000
Eu1 0.000 0.000 0.500
Zn1 0.250 0.250 0.750
Pb1 0.250 0.250 0.250

---

Entry from Alexandria: a relaxed structure of Ac6InPt2I3 (GGA-PBE).

Values from the calculation:
N(E_F) = 13.99 states/eV/cell

Lattice parameters (Å, degrees): 21.550 4.478 10.187 90.00 108.32 90.00
Space group C2/m (No. 12)
One atom of each set of equivalent atoms:
Ac1 0.021 0.000 0.250
Ac2 0.162 0.500 0.133
Ac3 0.181 0.500 0.551
In1 0.000 0.500 0.000
Pt1 0.170 0.000 0.342
I1 0.000 0.500 0.500
I2 0.159 0.000 0.836

---

Entry from Alexandria: a relaxed structure of CdIrOs2 (GGA-PBE).

Values from the calculation:
N(E_F) = 5.45 states/eV/cell
energy relative to the elements = 207 kJ/mol of formula units

Lattice parameters (Å, degrees): 4.864 2.757 4.931 90.00 110.26 90.00
Space group P2/m (No. 10)
One atom of each set of equivalent atoms:
Cd1 0.000 0.000 0.000
Ir1 0.500 0.500 0.000
Os1 0.000 0.500 0.500
Os2 0.500 0.000 0.500

---

Entry from Alexandria: a relaxed structure of Er5Hg4Ru (GGA-PBE).

Values from the calculation:
N(E_F) = 6.44 states/eV/cell
energy relative to the elements = -466 kJ/mol of formula units

Lattice parameters (Å, degrees): 3.560 3.560 18.814 90.00 90.00 90.00
Space group P4/mmm (No. 123)
One atom of each set of equivalent atoms:
Er1 0.000 0.000 0.000
Er2 0.000 0.000 0.205
Er3 0.000 0.000 0.415
Hg1 0.500 0.500 0.103
Hg2 0.500 0.500 0.307
Ru1 0.500 0.500 0.500

---

Entry from Alexandria: a relaxed structure of KTaRhSe2 (GGA-PBE).

Values from the calculation:
N(E_F) = 3.80 states/eV/cell

Lattice parameters (Å, degrees): 5.137 5.137 4.855 90.00 90.00 90.00
Space group P4/mmm (No. 123)
One atom of each set of equivalent atoms:
K1 0.000 0.000 0.000
Ta1 0.500 0.500 0.500
Rh1 0.500 0.500 0.000
Se1 0.000 0.500 0.500

---

Quick rundown of M_tot, same order as above: 0.00 31.04 0.00 0.00 0.00 0.00 μB/cell
Quick rundown of total energy, same order as above: -2.04 -5.40 -4.69 -7.52 -3.81 -5.62 eV per atom